No. 1
LiSc2Te (PBE, optimized geometry); uncorrected formation energy = -478 meV/atom; space group = P4/mmm (123); crystal system = tetragonal
1.0
3.772 0.000 0.000
0.000 3.772 0.000
0.000 0.000 6.135
Li Sc Te
1 2 1
Cartesian
1.886 1.886 4.601 Li
0.000 0.000 3.101 Sc
0.000 0.000 6.101 Sc
1.886 1.886 1.534 Te

***

No. 2
TmLuZrIn (PBE, optimized geometry); space group = F-43m (216); formation energy = -67 meV per atom; crystal system = cubic
1.0
5.264 0.000 0.000
2.632 4.558 0.000
2.632 1.519 4.298
Lu Zr In Tm
1 1 1 1
Cartesian
0.000 0.000 0.000 Lu
7.895 4.558 3.223 Zr
2.632 1.519 1.074 In
5.264 3.039 2.149 Tm

***

No. 3
VCd2PdCl (PBE, optimized geometry); uncorrected formation energy = 489 meV/atom; space group = P4/mmm (123); crystal system = tetragonal
1.0
-1.033 -4.528 -2.826
0.486 -2.946 4.543
-4.272 0.490 0.775
Cd V Pd Cl
2 1 1 1
Cartesian
-0.516 -2.264 -1.413 Cd
0.243 -1.473 2.271 Cd
0.000 0.000 0.000 V
-2.409 -3.492 1.246 Pd
-2.136 0.245 0.388 Cl

***

No. 4
Pu2Pa5 (PBE, optimized geometry); space group = C2/c (15); formation energy = 141 meV per atom; crystal system = monoclinic
1.0
-4.257 -3.732 -1.310
2.007 -0.009 -6.495
7.060 -4.594 3.033
Pa Pu
10 4
Cartesian
-0.189 -1.492 -5.393 Pa
2.789 -3.985 -0.075 Pa
4.574 -3.305 -3.082 Pa
1.339 -1.649 -2.375 Pa
3.471 -6.686 -2.397 Pa
-2.060 -2.249 -2.412 Pa
2.021 -4.350 -4.697 Pa
0.236 -5.030 -1.691 Pa
5.825 -3.737 1.884 Pa
-1.015 -4.598 -6.656 Pa
4.952 -5.588 -4.249 Pu
-0.142 -2.747 -0.523 Pu
5.296 -4.402 -0.587 Pu
-0.485 -3.932 -4.185 Pu

***

No. 5
NiIr2WSe (PBE, optimized geometry); uncorrected formation energy = 1610 meV/atom; space group = P4/mmm (123); crystal system = tetragonal
1.0
-0.753 0.362 4.468
-1.854 -4.150 0.024
3.957 -1.763 0.810
Se Ir W Ni
1 2 1 1
Cartesian
0.675 -2.776 2.651 Se
-0.377 0.181 2.234 Ir
-0.927 -2.075 0.012 Ir
1.979 -0.882 0.405 W
0.000 0.000 0.000 Ni

***

No. 6
AcIn4Au4 (PBE, optimized geometry); space group = P4_2/nmc (137); formation energy = -376 meV per atom; crystal system = tetragonal
1.0
-6.289 1.945 2.011
-0.661 -5.842 3.581
3.668 4.153 7.453
Au In Ac
8 8 2
Cartesian
-0.973 -1.762 3.562 Au
-0.667 -0.256 9.940 Au
-0.668 1.890 2.960 Au
-4.645 -0.627 4.737 Au
-0.281 3.155 7.850 Au
2.032 -1.306 7.615 Au
-3.286 2.699 3.797 Au
2.307 1.125 6.125 Au
-1.914 2.230 9.901 In
1.224 0.032 3.796 In
0.596 3.085 5.143 In
0.914 -2.704 5.473 In
-2.866 0.096 2.726 In
-2.349 3.996 6.085 In
1.430 1.196 8.832 In
-3.217 -3.010 4.630 In
-1.642 0.128 6.522 Ac
0.000 0.000 0.000 Ac

***

no.,DFT total energy (eV/atom)
1,-4.91
2,-5.14
3,-3.11
4,-10.74
5,-6.38
6,-3.51